Entry from Alexandria: a relaxed structure of ScAlRe2 (GGA-PBE).

Cell lengths 4.4293, 2.8943, 5.1913 Å; angles 77.56, 90.00, 90.00 degrees
Atoms (fractional coordinates):
Sc  0.0000  0.4789  0.5172
Re  0.0000  0.9376  0.0270
Re  0.5000  0.2120  0.2111
Al  0.5000  0.8715  0.7447

## Properties
space-group type	No. 6
E_tot	-35.47	eV for the cell shown
ΔE_f	-0.125	eV/atom